Entry 1:
Rb2CaSiBr6 after structural relaxation. Source: the Alexandria database, functional PBE.

```
Rb2CaSiBr6
1.0
0.000 5.621 5.621
5.621 0.000 5.621
5.621 5.621 0.000
Rb Ca Si Br
2 1 1 6
Direct
0.250 0.250 0.250
0.750 0.750 0.750
0.000 0.000 0.000
0.500 0.500 0.500
0.256 0.256 0.744
0.256 0.744 0.256
0.256 0.744 0.744
0.744 0.256 0.256
0.744 0.256 0.744
0.744 0.744 0.256
```

spin magnetization = 0.000 μB/atom
formation energy from raw total energies = -1384 meV per atom
total energy = -3.32 eV/atom
ρ = 3359 kg/m3
Fermi-level density of states = 0.00 states/eV/cell


Entry 2:
La8Tl2Hg after structural relaxation. Source: the Alexandria database, functional PBE.

```
La8Tl2Hg
1.0
9.494 -2.679 0.000
9.494 2.679 0.000
-2.859 0.000 7.260
La Tl Hg
8 2 1
Direct
0.009 0.009 0.256
0.200 0.200 0.792
0.340 0.340 0.557
0.412 0.412 0.048
0.588 0.588 0.952
0.660 0.660 0.443
0.800 0.800 0.208
0.991 0.991 0.744
0.178 0.178 0.196
0.822 0.822 0.804
0.500 0.500 0.500
```

spin magnetization = 0.000 μB/atom
DFT formation energy = -0.228 eV/atom
total energy = -4.27 eV/atom
ρ = 7736 kg/m3
Fermi-level density of states = 12.02 states/eV/cell


Entry 3:
Sm4RhAu after structural relaxation. Source: the Alexandria database, functional PBE.

```
Sm4RhAu
1.0
4.447 -6.879 0.000
4.447 6.879 0.000
-3.078 0.000 5.432
Sm Rh Au
8 2 2
Direct
0.061 0.695 0.910
0.221 0.354 0.695
0.305 0.939 0.590
0.354 0.221 0.195
0.646 0.779 0.805
0.695 0.061 0.410
0.779 0.646 0.305
0.939 0.305 0.090
0.001 0.999 0.750
0.999 0.001 0.250
0.374 0.626 0.250
0.626 0.374 0.750
```

spin magnetization = 0.000 μB/atom
DFT formation energy = -0.518 eV/atom
total energy = -5.44 eV/atom
ρ = 9006 kg/m3
Fermi-level density of states = 15.59 states/eV/cell


Entry 4:
Th2ScBi after structural relaxation. Source: the Alexandria database, functional PBE.

```
Th2ScBi
1.0
1.729 0.998 12.217
-1.729 0.998 12.217
0.000 -1.997 12.217
Th Sc Bi
2 1 1
Direct
0.090 0.090 0.090
0.910 0.910 0.910
0.500 0.500 0.500
0.000 0.000 0.000
```

spin magnetization = 0.000 μB/atom
DFT formation energy = 0.143 eV/atom
total energy = -6.12 eV/atom
ρ = 9421 kg/m3
Fermi-level density of states = 6.98 states/eV/cell


Entry 5:
HfCo2Ru after structural relaxation. Source: the Alexandria database, functional PBE.

```
HfCo2Ru
1.0
3.833 0.000 0.000
0.000 3.833 0.000
0.000 0.000 3.707
Hf Co Ru
1 2 1
Direct
0.000 0.000 0.000
0.000 0.500 0.500
0.500 0.000 0.500
0.500 0.500 0.000
```

spin magnetization = 0.000 μB/atom
DFT formation energy = -0.206 eV/atom
total energy = -8.57 eV/atom
ρ = 12118 kg/m3
Fermi-level density of states = 6.00 states/eV/cell


Entry 6:
Dy4CuIr2 after structural relaxation. Source: the Alexandria database, functional PBE.

```
Dy4CuIr2
1.0
7.475 0.000 0.000
-2.486 7.053 0.000
-2.499 -3.519 6.109
Dy Cu Ir
8 2 4
Direct
0.000 0.000 0.000
0.000 0.000 0.500
0.115 0.633 0.247
0.368 0.500 0.631
0.482 0.366 0.113
0.483 0.867 0.113
0.616 0.133 0.746
0.868 0.500 0.631
0.614 0.749 0.495
0.866 0.250 0.248
0.109 0.368 0.873
0.242 0.867 0.740
0.374 0.132 0.372
0.741 0.632 0.006
```

spin magnetization = 0.000 μB/atom
DFT formation energy = -0.590 eV/atom
total energy = -6.34 eV/atom
ρ = 11321 kg/m3
Fermi-level density of states = 9.20 states/eV/cell


Entry 7:
MgGa2 after structural relaxation. Source: the Alexandria database, functional PBE.

```
MgGa2
1.0
2.682 -4.947 0.000
2.682 4.947 0.000
0.000 0.000 8.730
Mg Ga
4 8
Direct
0.164 0.836 0.564
0.164 0.836 0.936
0.836 0.164 0.064
0.836 0.164 0.436
0.156 0.332 0.750
0.326 0.674 0.250
0.332 0.156 0.250
0.500 0.500 0.000
0.500 0.500 0.500
0.668 0.844 0.750
0.674 0.326 0.750
0.844 0.668 0.250
```

spin magnetization = 0.000 μB/atom
DFT formation energy = -0.079 eV/atom
total energy = -2.63 eV/atom
ρ = 4696 kg/m3
Fermi-level density of states = 2.44 states/eV/cell


Entry 8:
CrPbAu3 after structural relaxation. Source: the Alexandria database, functional PBE.

```
CrPbAu3
1.0
5.012 0.000 0.000
0.000 5.012 0.000
0.000 0.000 5.012
Cr Pb Au
1 1 3
Direct
0.000 0.000 0.000
0.500 0.500 0.500
0.000 0.000 0.500
0.000 0.500 0.000
0.500 0.000 0.000
```

spin magnetization = 0.832 μB/atom
DFT formation energy = 0.521 eV/atom
total energy = -4.11 eV/atom
ρ = 11213 kg/m3
Fermi-level density of states = 2.17 states/eV/cell


Entry 9:
TmMg3Tl4 after structural relaxation. Source: the Alexandria database, functional PBE.

```
TmMg3Tl4
1.0
5.176 0.000 0.000
0.000 5.192 0.000
0.000 0.000 7.446
Tm Mg Tl
1 3 4
Direct
0.000 0.000 0.000
0.000 0.000 0.500
0.500 0.500 0.000
0.500 0.500 0.500
0.000 0.500 0.259
0.000 0.500 0.741
0.500 0.000 0.259
0.500 0.000 0.741
```

spin magnetization = 0.000 μB/atom
DFT formation energy = -0.115 eV/atom
total energy = -2.46 eV/atom
ρ = 8792 kg/m3
Fermi-level density of states = 3.56 states/eV/cell


Entry 10:
LiBiOs2F after structural relaxation. Source: the Alexandria database, functional PBE.

```
LiBiOs2F
1.0
5.076 0.000 0.000
0.000 5.076 0.000
0.000 0.000 5.686
Li Bi Os F
1 1 2 1
Direct
0.000 0.000 0.000
0.000 0.000 0.500
0.000 0.500 0.500
0.500 0.000 0.500
0.500 0.500 0.000
```

spin magnetization = 0.732 μB/atom
formation energy from raw total energies = 1807 meV per atom
total energy = -4.22 eV/atom
ρ = 6975 kg/m3
Fermi-level density of states = 4.68 states/eV/cell


Entry 11:
HgGeOsF2 after structural relaxation. Source: the Alexandria database, functional PBE.

```
HgGeOsF2
1.0
4.032 0.000 0.000
0.000 4.032 0.000
0.000 0.000 6.095
Hg Ge Os F
1 1 1 2
Direct
0.000 0.000 0.000
0.000 0.000 0.500
0.500 0.500 0.000
0.000 0.500 0.500
0.500 0.000 0.500
```

spin magnetization = 0.521 μB/atom
formation energy from raw total energies = -8 meV per atom
total energy = -3.99 eV/atom
ρ = 8402 kg/m3
Fermi-level density of states = 2.74 states/eV/cell


Entry 12:
IrPdRh3 after structural relaxation. Source: the Alexandria database, functional PBE.

```
IrPdRh3
1.0
4.682 0.000 0.000
0.000 4.682 0.000
0.000 0.000 4.682
Ir Pd Rh
1 1 3
Direct
0.000 0.000 0.000
0.500 0.500 0.500
0.000 0.000 0.500
0.000 0.500 0.000
0.500 0.000 0.000
```

spin magnetization = 0.000 μB/atom
DFT formation energy = 1.407 eV/atom
total energy = -5.81 eV/atom
ρ = 9825 kg/m3
Fermi-level density of states = 7.09 states/eV/cell